VASP calculation (GGA-PBE) on Er7Ni2Ag2 after structural relaxation.

```
data_Er7Ni2Ag2
_chemical_formula_sum 'Er7 Ni2 Ag2'
_space_group_name_H-M_alt 'P 1'
_space_group_IT_number 1
_space_group_name_Hall 'P 1'
_cell_length_a 3.6135
_cell_length_b 9.4019
_cell_length_c 9.4019
_cell_angle_alpha 60.95
_cell_angle_beta 78.92
_cell_angle_gamma 78.92
loop_
_atom_site_label
_atom_site_fract_x
_atom_site_fract_y
_atom_site_fract_z
Er1 0.8110 0.0934 0.2846
Er2 0.8585 0.3951 0.8878
Er3 0.5000 0.0159 0.9841
Er4 0.6258 0.4724 0.2759
Er5 0.3742 0.7241 0.5276
Er6 0.1890 0.7154 0.9066
Er7 0.1415 0.1122 0.6049
Ni1 0.7425 0.8623 0.6526
Ni2 0.2575 0.3474 0.1377
Ag1 0.0000 0.7610 0.2390
Ag2 0.5000 0.3547 0.6453
```

Results
SG = No. 44
energy of formation = -2.88 eV/f.u.
offset from the most stable computed form = 0.00 eV/f.u.
N(E_F) = 13.45 states/eV/f.u.
M_tot = 0.0 μB/f.u.
theoretical density = 9.17 g cm⁻³

=====

VASP calculation (GGA-PBE) on Er7Ni2Ag2 after structural relaxation.

```
data_Er7Ni2Ag2
_chemical_formula_sum 'Er7 Ni2 Ag2'
_space_group_name_H-M_alt 'P 1'
_space_group_IT_number 1
_space_group_name_Hall 'P 1'
_cell_length_a 6.6287
_cell_length_b 6.9031
_cell_length_c 6.6287
_cell_angle_alpha 90.00
_cell_angle_beta 109.53
_cell_angle_gamma 90.00
loop_
_atom_site_label
_atom_site_fract_x
_atom_site_fract_y
_atom_site_fract_z
Er1 0.9998 0.2496 0.5003
Er2 0.5003 0.7504 0.9998
Er3 0.0002 0.7504 0.4997
Er4 0.4997 0.2496 0.0002
Er5 0.0000 0.0000 0.0000
Er6 0.5002 0.7567 0.4998
Er7 0.4998 0.2433 0.5002
Ni1 0.7062 0.0000 0.2938
Ni2 0.2938 0.0000 0.7062
Ag1 0.8191 0.5000 0.8191
Ag2 0.1809 0.5000 0.1809
```

Results
SG = No. 65
energy of formation = -1.66 eV/f.u.
offset from the most stable computed form = 1.22 eV/f.u.
N(E_F) = 11.17 states/eV/f.u.
M_tot = 0.0 μB/f.u.
theoretical density = 8.74 g cm⁻³